Here is a relaxed NaTl4Hg7 crystal from the Alexandria database. Energies are from GGA-PBE.

Unit cell a=7.3318 b=7.3318 c=9.7926 alpha=117.20 beta=117.20 gamma=51.31
With the nearest neighbours (Å) after each atom.
Fractional positions:
1 Na 0.0000 0.0000 0.0000  8 Hg 3.17-3.21
2 Tl 0.2412 0.2412 0.6634  7 Hg 3.18-3.34, 1 Tl 3.41
3 Tl 0.4988 0.4988 0.3309  6 Hg 3.17-3.35, 2 Tl 3.30-3.41
4 Tl 0.5012 0.5012 0.6691  6 Hg 3.17-3.35, 2 Tl 3.30-3.41
5 Tl 0.7588 0.7588 0.3366  7 Hg 3.18-3.34, 1 Tl 3.41
6 Hg 0.9999 0.9999 0.3274  4 Tl 3.17-3.23, 3 Hg 3.20-3.38, 1 Na 3.21
7 Hg 0.0001 0.0001 0.6726  4 Tl 3.17-3.23, 3 Hg 3.20-3.38, 1 Na 3.21
8 Hg 0.2435 0.2435 0.0022  5 Hg 3.18-3.40, 1 Na 3.21, 2 Tl 3.28-3.30
9 Hg 0.2451 0.2451 0.3302  5 Tl 3.18-3.35, 2 Hg 3.20-3.23, 1 Na 3.21
10 Hg 0.5000 0.5000 0.0000  2 Na 3.17, 4 Tl 3.25-3.34, 2 Hg 3.40
11 Hg 0.7549 0.7549 0.6698  5 Tl 3.18-3.35, 2 Hg 3.20-3.23, 1 Na 3.21
12 Hg 0.7565 0.7565 0.9978  5 Hg 3.18-3.40, 1 Na 3.21, 2 Tl 3.28-3.30

Summary:
Its energy relative to the lowest polymorph listed for this composition is 22 meV per atom. The space group is C2/m (12). The value obtained for the uncorrected energy is -1.12 eV per atom. As for the formation energy: -4 kJ per mole of atoms.


Here is a relaxed GdSi2 crystal from the Alexandria database. Energies are from GGA-PBE.

Unit cell a=4.1026 b=4.1026 c=4.0897 alpha=104.89 beta=104.89 gamma=91.62
With the nearest neighbours (Å) after each atom.
Fractional positions:
1 Gd 0.0000 0.0000 0.0000  10 Si 2.92-3.23
2 Si 0.3925 0.3925 0.7004  2 Si 2.30-2.38
3 Si 0.6075 0.6075 0.2996  2 Si 2.30-2.38

Summary:
As for the formation energy (no corrections): -0.3755 eV per atom. The space group is C2/m (12). The value obtained for the uncorrected energy is -8.68 eV per atom.


Here is a relaxed Ac2PmSi3Pt12 crystal from the Alexandria database. Energies are from GGA-PBE.

Unit cell a=7.9445 b=7.9445 c=7.9445 alpha=63.70 beta=63.70 gamma=63.70
With the nearest neighbours (Å) after each atom.
Fractional positions:
1 Ac 0.1022 0.1022 0.1022  6 Pt 2.98-3.02
2 Ac 0.8978 0.8978 0.8978  6 Pt 2.98-3.02
3 Pm 0.5000 0.5000 0.5000  6 Pt 2.76
4 Si 0.0000 0.5000 0.5000  6 Pt 2.36-2.37
5 Si 0.5000 0.0000 0.5000  6 Pt 2.36-2.37
6 Si 0.5000 0.5000 0.0000  6 Pt 2.36-2.37
7 Pt 0.0939 0.6403 0.6403  1 Si 2.37
8 Pt 0.1555 0.1555 0.5987  2 Si 2.36
9 Pt 0.1555 0.5987 0.1555  2 Si 2.36
10 Pt 0.3597 0.3597 0.9061  1 Si 2.37
11 Pt 0.3597 0.9061 0.3597  1 Si 2.37
12 Pt 0.4013 0.8445 0.8445  2 Si 2.36
13 Pt 0.5987 0.1555 0.1555  2 Si 2.36
14 Pt 0.6403 0.0939 0.6403  1 Si 2.37
15 Pt 0.6403 0.6403 0.0939  1 Si 2.37
16 Pt 0.8445 0.4013 0.8445  2 Si 2.36
17 Pt 0.8445 0.8445 0.4013  2 Si 2.36
18 Pt 0.9061 0.3597 0.3597  1 Si 2.37

Summary:
As for the formation energy (no corrections): -0.5493 eV per atom. The space group is R-3m (166). The value obtained for the uncorrected energy is -6.20 eV per atom.


Here is a relaxed Ac2FeH6Pd crystal from the Alexandria database. Energies are from GGA-PBE.

Unit cell a=5.4576 b=5.4576 c=5.4613 alpha=119.60 beta=119.60 gamma=90.50
With the nearest neighbours (Å) after each atom.
Fractional positions:
1 Ac 0.2503 0.7497 0.0000  12 H 2.73-2.77
2 Ac 0.7497 0.2503 0.0000  12 H 2.73-2.77
3 Fe 0.4992 0.4992 0.4999  6 H 1.66-1.67
4 H 0.2829 0.2829 0.5026  1 Fe 1.67
5 H 0.2851 0.7137 0.5000  1 Fe 1.66
6 H 0.2871 0.2871 0.0736  1 Fe 1.66
7 H 0.7116 0.7116 0.9263  1 Fe 1.66
8 H 0.7137 0.2851 0.5000  1 Fe 1.66
9 H 0.7149 0.7149 0.4973  1 Fe 1.67
10 Pd 0.0037 0.0037 0.4996  6 H 2.13-2.23

Summary:
The space group is Cm (8). The value obtained for the uncorrected energy is -4.63 eV per atom.


Here is a relaxed MgTa2Ir crystal from the Alexandria database. Energies are from GGA-PBE.

Unit cell a=3.1906 b=4.4939 c=4.6985 alpha=90.00 beta=90.00 gamma=90.00
With the nearest neighbours (Å) after each atom.
Fractional positions:
1 Mg 0.0000 0.0000 0.0000  4 Ir 2.76, 4 Ta 2.84
2 Ta 0.0000 0.5000 0.5000  4 Ta 2.76, 4 Ir 2.84
3 Ta 0.5000 0.0000 0.5000  4 Ta 2.76, 4 Mg 2.84
4 Ir 0.5000 0.5000 0.0000  4 Mg 2.76, 4 Ta 2.84

Summary:
The space group is Pmmm (47). The value obtained for the uncorrected energy is -8.62 eV per atom. As for the formation energy: -8 kJ per mole of atoms.


Here is a relaxed CaBi4Pd6 crystal from the Alexandria database. Energies are from GGA-PBE.

Unit cell a=7.1753 b=7.1753 c=7.1753 alpha=122.20 beta=122.20 gamma=86.22
With the nearest neighbours (Å) after each atom.
Fractional positions:
1 Ca 0.0000 0.0000 0.0000  4 Bi 3.28, 8 Pd 3.45-3.47
2 Bi 0.1167 0.5503 0.0000  6 Pd 2.72-3.03
3 Bi 0.4497 0.4497 0.5664  6 Pd 2.72-3.03
4 Bi 0.5503 0.1167 0.0000  6 Pd 2.72-3.03
5 Bi 0.8833 0.8833 0.4336  6 Pd 2.72-3.03
6 Pd 0.0000 0.5000 0.5000  4 Pd 2.79, 4 Bi 3.03
7 Pd 0.2364 0.2364 0.6705  4 Bi 2.72-2.83, 2 Pd 2.79
8 Pd 0.4341 0.7636 0.0000  4 Bi 2.72-2.83, 2 Pd 2.79
9 Pd 0.5000 0.0000 0.5000  4 Pd 2.79, 4 Bi 3.03
10 Pd 0.5659 0.5659 0.3295  4 Bi 2.72-2.83, 2 Pd 2.79
11 Pd 0.7636 0.4341 0.0000  4 Bi 2.72-2.83, 2 Pd 2.79

Summary:
The space group is I-42m (121). The value obtained for the uncorrected energy is -4.75 eV per atom. As for the formation energy: -32 kJ per mole of atoms.


Here is a relaxed PrSm crystal from the Alexandria database. Energies are from GGA-PBE.

Unit cell a=10.0701 b=10.0701 c=10.0701 alpha=159.30 beta=42.06 gamma=143.80
With the nearest neighbours (Å) after each atom.
Fractional positions:
1 Pr 0.0000 0.0000 0.0000  8 Sm 3.61-3.64, 4 Pr 3.62-3.65
2 Pr 0.1752 0.3344 0.8408  7 Sm 3.43-3.65, 3 Pr 3.62-3.65
3 Pr 0.4936 0.3344 0.1592  7 Sm 3.43-3.65, 3 Pr 3.62-3.65
4 Sm 0.5015 0.0015 0.5000  8 Pr 3.61-3.65, 4 Sm 3.62-3.64
5 Sm 0.6755 0.3341 0.3414  7 Pr 3.43-3.64, 3 Sm 3.62-3.64
6 Sm 0.9926 0.3341 0.6586  7 Pr 3.43-3.64, 3 Sm 3.62-3.64

Summary:
Its energy relative to the lowest polymorph listed for this composition is 83 meV per atom. The space group is Imm2 (44). The value obtained for the uncorrected energy is -4.63 eV per atom. As for the formation energy: 11 kJ per mole of atoms.


Here is a relaxed Rb2Ca2Ag crystal from the Alexandria database. Energies are from GGA-PBE.

Unit cell a=8.2223 b=8.2223 c=7.3762 alpha=90.00 beta=90.00 gamma=90.00
With the nearest neighbours (Å) after each atom.
Fractional positions:
1 Rb 0.1813 0.3187 0.0000  2 Ca 4.08, 5 Rb 4.22-4.26
2 Rb 0.3187 0.8187 0.0000  2 Ca 4.08, 5 Rb 4.22-4.26
3 Rb 0.6813 0.1813 0.0000  2 Ca 4.08, 5 Rb 4.22-4.26
4 Rb 0.8187 0.6813 0.0000  2 Ca 4.08, 5 Rb 4.22-4.26
5 Ca 0.1690 0.6690 0.5000  2 Ag 3.06
6 Ca 0.3310 0.1690 0.5000  2 Ag 3.06
7 Ca 0.6690 0.8310 0.5000  2 Ag 3.06
8 Ca 0.8310 0.3310 0.5000  2 Ag 3.06
9 Ag 0.0000 0.0000 0.5000  4 Ca 3.06
10 Ag 0.5000 0.5000 0.5000  4 Ca 3.06

Summary:
The space group is P4/mbm (127). The value obtained for the uncorrected energy is -1.63 eV per atom. As for the formation energy: 13 kJ per mole of atoms.